a | Computed, not measured: a relaxed Y12Er6Mg crystal at the GGA-PBE level of DFT.

Calculated values
As for the space group: R-3.

a = 8.486 Å, b = 8.486 Å, c = 8.486 Å
α = 88.51°, β = 88.51°, γ = 88.51°
Positions (direct):
Y1 0.782 0.539 0.435
Y2 0.435 0.782 0.539
Y3 0.539 0.435 0.782
Y4 0.218 0.461 0.565
Y5 0.565 0.218 0.461
Y6 0.461 0.565 0.218
Y7 0.014 0.179 0.366
Y8 0.821 0.634 0.986
Y9 0.634 0.986 0.821
Y10 0.986 0.821 0.634
Y11 0.179 0.366 0.014
Y12 0.366 0.014 0.179
Er1 0.739 0.902 0.289
Er2 0.711 0.261 0.098
Er3 0.098 0.711 0.261
Er4 0.261 0.098 0.711
Er5 0.289 0.739 0.902
Er6 0.902 0.289 0.739
Mg1 0.000 0.000 0.000

b | Computed, not measured: a relaxed Y12Er6Mg crystal at the GGA-PBE level of DFT.

Calculated values
As for the space group: R-3m.

a = 8.600 Å, b = 8.600 Å, c = 8.600 Å
α = 97.44°, β = 97.44°, γ = 97.44°
Positions (direct):
Y1 0.587 0.168 0.587
Y2 0.168 0.587 0.587
Y3 0.587 0.587 0.168
Y4 0.413 0.832 0.413
Y5 0.832 0.413 0.413
Y6 0.413 0.413 0.832
Y7 0.261 0.000 0.739
Y8 0.261 0.739 0.000
Y9 0.000 0.261 0.739
Y10 0.739 0.000 0.261
Y11 0.739 0.261 0.000
Y12 0.000 0.739 0.261
Er1 0.137 0.138 0.408
Er2 0.862 0.592 0.863
Er3 0.592 0.863 0.862
Er4 0.863 0.862 0.592
Er5 0.138 0.408 0.137
Er6 0.408 0.137 0.138
Mg1 0.000 0.000 0.000

Most favorable structure: a. The second most favorable one is 2.2 kJ/mol of atoms above it.

a | Computed, not measured: a relaxed Y2Er6Mg crystal at the GGA-PBE level of DFT.

Calculated values
As for the space group: P-6m2.

a = 3.535 Å, b = 3.535 Å, c = 25.704 Å
α = 90.00°, β = 90.00°, γ = 120.00°
Last column: magnetic moment on the atom in μB.
Positions (direct):
Y1 0.333 0.667 0.326  0.15
Y2 0.333 0.667 0.674  0.15
Er1 0.333 0.667 0.895  0.05
Er2 0.000 0.000 0.435  0.29
Er3 0.000 0.000 0.786  0.13
Er4 0.000 0.000 0.214  0.13
Er5 0.000 0.000 0.565  0.29
Er6 0.333 0.667 0.105  0.05
Mg1 0.000 0.000 0.000  0.00

b | Computed, not measured: a relaxed Y2Er6Mg crystal at the GGA-PBE level of DFT.

Calculated values
As for the space group: P4_2/mnm.

a = 4.975 Å, b = 10.459 Å, c = 10.461 Å
α = 90.00°, β = 90.00°, γ = 90.00°
Positions (direct):
Y1 0.000 0.336 0.836
Y2 0.500 0.836 0.664
Y3 0.500 0.164 0.336
Y4 0.000 0.664 0.164
Er1 0.000 0.999 0.165
Er2 0.000 0.665 0.499
Er3 0.000 0.669 0.831
Er4 0.500 0.169 0.669
Er5 0.500 0.165 0.001
Er6 0.500 0.499 0.335
Er7 0.000 0.001 0.835
Er8 0.000 0.335 0.501
Er9 0.000 0.331 0.169
Er10 0.500 0.831 0.331
Er11 0.500 0.835 0.999
Er12 0.500 0.501 0.665
Mg1 0.500 0.500 0.000
Mg2 0.000 0.000 0.500

Most favorable structure: b. The second most favorable one is 3.7 kJ/mol of atoms above it.

a | Computed, not measured: a relaxed YErMg3 crystal at the GGA-PBE level of DFT.

Calculated values
As for the space group: Cmcm.

a = 5.781 Å, b = 6.249 Å, c = 8.320 Å
α = 112.06°, β = 90.00°, γ = 90.00°
Positions (direct):
Y1 0.750 0.192 0.385
Y2 0.250 0.808 0.615
Er1 0.750 0.587 0.174
Er2 0.250 0.413 0.826
Mg1 0.750 0.616 0.732
Mg2 0.750 0.116 0.732
Mg3 0.250 0.884 0.268
Mg4 0.250 0.384 0.268
Mg5 0.000 0.000 0.000
Mg6 0.500 0.000 0.000

b | Computed, not measured: a relaxed YErMg3 crystal at the GGA-PBE level of DFT.

Calculated values
As for the space group: C2/c.

a = 5.439 Å, b = 10.225 Å, c = 10.225 Å
α = 105.42°, β = 84.92°, γ = 84.92°
Positions (direct):
Y1 0.128 0.377 0.208
Y2 0.628 0.208 0.377
Y3 0.372 0.792 0.623
Y4 0.872 0.623 0.792
Er1 0.250 0.757 0.243
Er2 0.250 0.080 0.920
Er3 0.750 0.243 0.757
Er4 0.750 0.920 0.080
Mg1 0.678 0.241 0.068
Mg2 0.178 0.068 0.241
Mg3 0.822 0.932 0.759
Mg4 0.322 0.759 0.932
Mg5 0.046 0.354 0.521
Mg6 0.546 0.521 0.354
Mg7 0.454 0.479 0.646
Mg8 0.954 0.646 0.479
Mg9 0.735 0.563 0.075
Mg10 0.235 0.075 0.563
Mg11 0.765 0.925 0.437
Mg12 0.265 0.437 0.925

Most favorable structure: b. The second most favorable one is 6.3 kJ/mol of atoms above it.

a | Computed, not measured: a relaxed Y8Er2Mg crystal at the GGA-PBE level of DFT.

Calculated values
As for the space group: Amm2.

a = 5.402 Å, b = 10.236 Å, c = 8.256 Å
α = 51.71°, β = 89.97°, γ = 89.94°
Positions (direct):
Y1 0.501 0.696 0.274
Y2 0.501 0.970 0.727
Y3 0.000 0.663 0.000
Y4 0.000 0.744 0.506
Y5 0.000 0.250 0.494
Y6 0.000 0.331 0.000
Y7 0.499 0.024 0.273
Y8 0.499 0.298 0.726
Er1 0.500 0.377 0.240
Er2 0.500 0.617 0.760
Mg1 0.000 0.997 0.000

b | Computed, not measured: a relaxed Y8Er2Mg crystal at the GGA-PBE level of DFT.

Calculated values
As for the space group: C2/m.

a = 5.661 Å, b = 9.946 Å, c = 9.946 Å
α = 40.44°, β = 92.01°, γ = 92.01°
Positions (direct):
Y1 0.259 0.135 0.606
Y2 0.259 0.606 0.135
Y3 0.741 0.865 0.394
Y4 0.234 0.549 0.549
Y5 0.741 0.394 0.865
Y6 0.235 0.181 0.181
Y7 0.765 0.819 0.819
Y8 0.766 0.451 0.451
Er1 0.745 0.282 0.282
Er2 0.255 0.718 0.718
Mg1 0.000 0.000 0.000

Most favorable structure: b. The second most favorable one is 2.1 kJ/mol of atoms above it.

a | Computed, not measured: a relaxed Y6Er12Mg crystal at the GGA-PBE level of DFT.

Calculated values
As for the space group: R-3m.

a = 8.565 Å, b = 8.565 Å, c = 8.565 Å
α = 97.85°, β = 97.85°, γ = 97.85°
Positions (direct):
Y1 0.139 0.139 0.411
Y2 0.861 0.589 0.861
Y3 0.589 0.861 0.861
Y4 0.861 0.861 0.589
Y5 0.139 0.411 0.139
Y6 0.411 0.139 0.139
Er1 0.593 0.166 0.593
Er2 0.166 0.593 0.593
Er3 0.593 0.593 0.166
Er4 0.407 0.834 0.407
Er5 0.834 0.407 0.407
Er6 0.407 0.407 0.834
Er7 0.261 0.000 0.739
Er8 0.261 0.739 0.000
Er9 0.000 0.261 0.739
Er10 0.739 0.000 0.261
Er11 0.739 0.261 0.000
Er12 0.000 0.739 0.261
Mg1 0.000 0.000 0.000

b | Computed, not measured: a relaxed Y6Er12Mg crystal at the GGA-PBE level of DFT.

Calculated values
As for the space group: R-3.

a = 8.450 Å, b = 8.450 Å, c = 8.450 Å
α = 92.41°, β = 92.41°, γ = 92.41°
Positions (direct):
Y1 0.726 0.882 0.262
Y2 0.738 0.274 0.118
Y3 0.118 0.738 0.274
Y4 0.274 0.118 0.738
Y5 0.262 0.726 0.882
Y6 0.882 0.262 0.726
Er1 0.790 0.528 0.465
Er2 0.465 0.790 0.528
Er3 0.528 0.465 0.790
Er4 0.210 0.472 0.535
Er5 0.535 0.210 0.472
Er6 0.472 0.535 0.210
Er7 0.053 0.143 0.371
Er8 0.857 0.629 0.947
Er9 0.629 0.947 0.857
Er10 0.947 0.857 0.629
Er11 0.143 0.371 0.053
Er12 0.371 0.053 0.143
Mg1 0.000 0.000 0.000

Most favorable structure: a. The second most favorable one is 1.7 kJ/mol of atoms above it.

a | Computed, not measured: a relaxed YEr2Mg4 crystal at the GGA-PBE level of DFT.

Calculated values
As for the space group: I4/mmm.

a = 5.361 Å, b = 5.361 Å, c = 8.125 Å
α = 109.26°, β = 109.26°, γ = 90.00°
Last column: magnetic moment on the atom in μB.
Positions (direct):
Y1 0.000 0.000 0.000  -0.01
Er1 0.750 0.750 0.500  0.09
Er2 0.250 0.250 0.500  0.09
Mg1 0.382 0.882 0.763  0.00
Mg2 0.882 0.382 0.763  0.00
Mg3 0.618 0.118 0.237  0.00
Mg4 0.118 0.618 0.237  0.00

b | Computed, not measured: a relaxed YEr2Mg4 crystal at the GGA-PBE level of DFT.

Calculated values
As for the space group: Cmmm.

a = 5.438 Å, b = 5.942 Å, c = 7.099 Å
α = 114.74°, β = 90.00°, γ = 90.00°
Positions (direct):
Y1 0.000 0.500 0.000
Er1 0.500 0.131 0.263
Er2 0.500 0.869 0.737
Mg1 0.500 0.620 0.239
Mg2 0.000 0.746 0.491
Mg3 0.500 0.380 0.761
Mg4 0.000 0.254 0.509

Most favorable structure: a. The second most favorable one is 23.4 kJ/mol of atoms above it.

a | Computed, not measured: a relaxed Y3Er2Mg crystal at the GGA-PBE level of DFT.

Calculated values
As for the space group: C2/c.

a = 6.945 Å, b = 6.124 Å, c = 9.271 Å
α = 91.15°, β = 112.00°, γ = 90.00°
Positions (direct):
Y1 0.634 0.250 0.000
Y2 0.366 0.750 0.000
Y3 0.042 0.079 0.334
Y4 0.708 0.421 0.666
Y5 0.292 0.579 0.334
Y6 0.958 0.921 0.666
Er1 0.789 0.583 0.333
Er2 0.545 0.083 0.333
Er3 0.455 0.917 0.667
Er4 0.211 0.417 0.667
Mg1 0.869 0.750 0.000
Mg2 0.131 0.250 0.000

b | Computed, not measured: a relaxed Y3Er2Mg crystal at the GGA-PBE level of DFT.

Calculated values
As for the space group: P4/mmm.

a = 3.562 Å, b = 3.562 Å, c = 14.314 Å
α = 90.00°, β = 90.00°, γ = 90.00°
Positions (direct):
Y1 0.000 0.000 0.000
Y2 0.000 0.000 0.654
Y3 0.000 0.000 0.346
Er1 0.500 0.500 0.826
Er2 0.500 0.500 0.174
Mg1 0.500 0.500 0.500

Most favorable structure: b. The second most favorable one is 4.0 kJ/mol of atoms above it.

a | Computed, not measured: a relaxed Y2ErMg crystal at the GGA-PBE level of DFT.

Calculated values
As for the space group: Fm-3m.

a = 5.503 Å, b = 5.503 Å, c = 5.503 Å
α = 60.00°, β = 60.00°, γ = 60.00°
Positions (direct):
Y1 0.250 0.250 0.250
Y2 0.750 0.750 0.750
Mg1 0.500 0.500 0.500
Er1 0.000 0.000 0.000

b | Computed, not measured: a relaxed Y2ErMg crystal at the GGA-PBE level of DFT.

Calculated values
As for the space group: P4/mmm.

a = 3.597 Å, b = 3.597 Å, c = 9.181 Å
α = 90.00°, β = 90.00°, γ = 90.00°
Positions (direct):
Y1 0.000 0.000 0.765
Y2 0.000 0.000 0.235
Mg1 0.500 0.500 0.000
Er1 0.500 0.500 0.500

Most favorable structure: b. The second most favorable one is 7.0 kJ/mol of atoms above it.

a | Computed, not measured: a relaxed Y2ErMg crystal at the GGA-PBE level of DFT.

Calculated values
As for the space group: P4/mmm.

a = 4.030 Å, b = 5.433 Å, c = 5.433 Å
α = 90.00°, β = 90.00°, γ = 90.00°
Positions (direct):
Y1 0.000 0.000 0.500
Y2 0.000 0.500 0.000
Mg1 0.500 0.500 0.500
Er1 0.500 0.000 0.000

b | Computed, not measured: a relaxed Y2ErMg crystal at the GGA-PBE level of DFT.

Calculated values
As for the space group: R-3m.

a = 3.447 Å, b = 3.447 Å, c = 12.377 Å
α = 82.00°, β = 82.00°, γ = 60.00°
Positions (direct):
Y1 0.089 0.089 0.732
Y2 0.911 0.911 0.268
Mg1 0.000 0.000 0.000
Er1 0.500 0.500 0.500

Most favorable structure: a. The second most favorable one is 15.6 kJ/mol of atoms above it.

a | Computed, not measured: a relaxed Y7Er2Mg2 crystal at the GGA-PBE level of DFT.

Calculated values
As for the space group: C2/m.

a = 8.426 Å, b = 8.426 Å, c = 6.128 Å
α = 63.05°, β = 63.05°, γ = 83.34°
Positions (direct):
Y1 0.916 0.424 0.843
Y2 0.576 0.084 0.157
Y3 0.084 0.576 0.157
Y4 0.424 0.916 0.843
Y5 0.000 0.000 0.000
Y6 0.405 0.405 0.379
Y7 0.595 0.595 0.621
Er1 0.802 0.198 0.500
Er2 0.198 0.802 0.500
Mg1 0.756 0.756 0.943
Mg2 0.244 0.244 0.057

b | Computed, not measured: a relaxed Y7Er2Mg2 crystal at the GGA-PBE level of DFT.

Calculated values
As for the space group: C2/m.

a = 5.693 Å, b = 8.107 Å, c = 8.107 Å
α = 87.06°, β = 74.24°, γ = 74.24°
Positions (direct):
Y1 0.183 0.018 0.602
Y2 0.817 0.398 0.982
Y3 0.817 0.982 0.398
Y4 0.183 0.602 0.018
Y5 0.000 0.000 0.000
Y6 0.666 0.777 0.777
Y7 0.334 0.223 0.223
Er1 0.500 0.221 0.779
Er2 0.500 0.779 0.221
Mg1 0.783 0.438 0.438
Mg2 0.217 0.562 0.562

Most favorable structure: a. The second most favorable one is 4.2 kJ/mol of atoms above it.